Below is a relaxed Sc2TcMo crystal, with properties calculated at the PBE level.

Properties
symmetry = No. 160
polymorph energy (0 for the lowest one) = 288.0 meV per atom
magnetic moment = 0.0 Bohr magnetons per cell
E_form = 0.165 eV/atom

```
Sc2TcMo
1.0
-2.454 6.920 -6.045
-3.484 4.501 -7.619
-5.234 5.776 -5.450
Tc Mo Sc
1 1 2
direct
0.494 0.494 0.494
0.758 0.758 0.758
0.010 0.010 0.010
0.238 0.238 0.238
```